DFT (GGA-PBE) results for an optimized crystal structure of Tb4Sn2Sb. Values from VASP.

Cell and atoms, written as Quantum ESPRESSO input:
```
&SYSTEM
  ibrav = 0, nat = 14, ntyp = 3
/
ATOMIC_SPECIES
Tb 158.93 Tb.upf
Sn 118.71 Sn.upf
Sb 121.76 Sb.upf
CELL_PARAMETERS angstrom
-4.648 4.648 4.648
4.648 -4.648 4.648
4.648 4.648 -4.648
ATOMIC_POSITIONS angstrom
Tb 3.977 2.983 -1.819
Tb 6.314 0.671 0.505
Tb 0.671 2.983 -0.505
Tb 0.671 1.665 2.830
Tb 1.665 -0.671 6.467
Tb 3.977 1.665 4.143
Tb 2.983 5.320 1.819
Tb -1.665 3.977 5.154
Sn 2.324 -1.170 3.486
Sn 3.479 2.324 1.162
Sn 2.324 5.818 -1.162
Sn 1.170 2.324 5.810
Sb 0.000 0.000 0.000
Sb 0.000 4.648 2.324
```

Energy: -5.208 eV per atom
Space group: No. 122
ΔE_f (raw): -0.829 eV per atom
V: 28.70 Å³/atom